(1)
Computed, not measured: an optimized crystal structure of ReAg2Br at the PBE level of DFT.

Results
The value obtained for the energy above the most stable polymorph in this dataset is 762 meV per atom. Its density of states at the Fermi level is 0.42 states/eV per atom. As for the formation energy (no corrections): 1.340 eV/atom. The theoretical density is 9.8 g/cm³.

Cell lengths 6.885, 6.885, 6.885 Å; angles 90.00, 90.00, 90.00 degrees
Space group Fm-3m (No. 225)
Inequivalent atoms, fractional coordinates:
1 Re 0.000 0.000 0.000 x4
2 Ag 0.250 0.250 0.250 x8
3 Br 0.000 0.000 0.500 x4

***

(2)
Computed, not measured: an optimized crystal structure of ReAg2Br at the PBE level of DFT.

Results
The value obtained for the energy above the most stable polymorph in this dataset is 109 meV per atom. Its density of states at the Fermi level is 0.63 states/eV per atom. As for the formation energy (no corrections): 0.686 eV/atom. The theoretical density is 10.8 g/cm³.

Cell lengths 3.025, 4.953, 9.859 Å; angles 90.00, 90.00, 90.00 degrees
Space group Cmmm (No. 65)
Inequivalent atoms, fractional coordinates:
1 Re 0.000 0.000 0.000 x2
2 Ag 0.000 0.500 0.239 x4
3 Br 0.000 0.000 0.500 x2

***

(3)
Computed, not measured: an optimized crystal structure of Re2AgBr at the PBE level of DFT.

Results
The value obtained for the energy above the most stable polymorph in this dataset is 840 meV per atom. Its density of states at the Fermi level is 1.05 states/eV per atom. As for the formation energy (no corrections): 1.274 eV/atom. The theoretical density is 13.5 g/cm³.

Cell lengths 2.852, 4.796, 5.043 Å; angles 90.00, 90.00, 90.00 degrees
Space group Pmmm (No. 47)
Inequivalent atoms, fractional coordinates:
1 Re 0.000 0.000 0.000 x1
2 Re 0.500 0.500 0.000 x1
3 Ag 0.000 0.500 0.500 x1
4 Br 0.500 0.000 0.500 x1

***

(4)
Computed, not measured: an optimized crystal structure of Re2AgBr at the PBE level of DFT.

Results
The value obtained for the energy above the most stable polymorph in this dataset is 1023 meV per atom. Its density of states at the Fermi level is 0.96 states/eV per atom. As for the formation energy (no corrections): 1.457 eV/atom. The theoretical density is 9.8 g/cm³.

Cell lengths 3.602, 3.602, 14.665 Å; angles 90.00, 90.00, 90.00 degrees
Space group I4/mmm (No. 139)
Inequivalent atoms, fractional coordinates:
1 Re 0.000 0.500 0.250 x4
2 Ag 0.000 0.000 0.000 x2
3 Br 0.000 0.000 0.500 x2

***

Number 1: total energy -0.133 hartree per atom. Number 2: total energy -0.157 hartree per atom. Number 3: total energy -0.223 hartree per atom. Number 4: total energy -0.217 hartree per atom.